This record from Alexandria describes an optimized crystal structure of NaVAgF6. The functional is GGA+U.

POSCAR file:
```
NaVAgF6
1.0
-2.929 2.849 3.934
3.105 -4.508 1.487
7.519 5.672 1.491
F Ag V Na
12 2 2 2
Direct
0.394 0.339 0.362
0.606 0.945 0.862
0.661 0.055 0.362
0.055 0.394 0.638
0.945 0.339 0.138
0.945 0.606 0.362
0.661 0.606 0.138
0.339 0.394 0.862
0.339 0.945 0.638
0.055 0.661 0.862
0.394 0.055 0.138
0.606 0.661 0.638
0.000 0.000 0.500
0.000 0.000 0.000
0.667 0.333 0.250
0.333 0.667 0.750
0.667 0.333 0.750
0.333 0.667 0.250
```

Summary:
Energy in eV for the cell shown: -87.95
Crystal system: trigonal